Record 1
Density functional theory data (GGA-PBEsol) for RbCrPdW2 after structural relaxation.

Unit cell a=4.862 b=4.862 c=5.092 alpha=90.00 beta=90.00 gamma=90.00
Positions (direct):
Rb: 0.000 0.000 0.000
Cr: 0.500 0.500 0.000
Pd: 0.500 0.500 0.500
W: 0.000 0.500 0.500
W: 0.500 0.000 0.500

Values from the calculation:
* total energy: -33.8 eV per cell

***

Record 2
Density functional theory data (GGA-PBEsol) for CrRePd3 after structural relaxation.

Unit cell a=4.415 b=4.415 c=4.415 alpha=90.00 beta=90.00 gamma=90.00
Positions (direct):
Cr: 0.000 0.000 0.000
Re: 0.500 0.500 0.500
Pd: 0.000 0.000 0.500
Pd: 0.000 0.500 0.000
Pd: 0.500 0.000 0.000

Values from the calculation:
* total energy: -33.1 eV per cell

***

Record 3
Density functional theory data (GGA-PBEsol) for CrPd2RuS after structural relaxation.

Unit cell a=4.835 b=4.835 c=4.200 alpha=90.00 beta=90.00 gamma=90.00
Positions (direct):
Cr: 0.000 0.000 0.000
Pd: 0.000 0.500 0.500
Pd: 0.500 0.000 0.500
Ru: 0.500 0.500 0.500
S: 0.500 0.500 0.000

Values from the calculation:
* total energy: -31.8 eV per cell
* raw formation energy: 0.98 eV/atom

***

Record 4
Density functional theory data (GGA-PBEsol) for Cr3PdS after structural relaxation.

Unit cell a=4.764 b=4.764 c=4.764 alpha=90.00 beta=90.00 gamma=90.00
Positions (direct):
Cr: 0.000 0.000 0.500
Cr: 0.000 0.500 0.000
Cr: 0.500 0.000 0.000
Pd: 0.000 0.000 0.000
S: 0.500 0.500 0.500

Values from the calculation:
* total energy: -33.7 eV per cell
* raw formation energy: 1.47 eV/atom

***

Record 5
Density functional theory data (GGA-PBEsol) for CrSb3Pd after structural relaxation.

Unit cell a=5.139 b=5.139 c=5.139 alpha=90.00 beta=90.00 gamma=90.00
Positions (direct):
Cr: 0.000 0.000 0.000
Sb: 0.000 0.500 0.500
Sb: 0.500 0.000 0.500
Sb: 0.500 0.500 0.000
Pd: 0.500 0.500 0.500

Values from the calculation:
* total energy: -26.3 eV per cell
* raw formation energy: 0.72 eV/atom

***

Record 6
Density functional theory data (GGA-PBEsol) for CrSb2Pd after structural relaxation.

Unit cell a=9.125 b=9.125 c=9.125 alpha=151.65 beta=151.65 gamma=40.52
Positions (direct):
Cr: 0.000 0.000 0.000
Cr: 0.750 0.250 0.500
Sb: 0.131 0.625 0.006
Sb: 0.375 0.381 0.506
Sb: 0.619 0.125 0.994
Sb: 0.875 0.869 0.494
Pd: 0.250 0.750 0.500
Pd: 0.500 0.500 0.000

Values from the calculation:
* total energy: -49.5 eV per cell
* raw formation energy: 0.14 eV/atom